No. 1
# PBE-GGA Mn2ZnPd2, optimized geometry
# Formation energy from the elements: 0.304 eV per atom
# DFT total energy: -57.0 eV for the cell shown
# Relative energy among the computed polymorphs: 358 meV per atom
# Theoretical density: 8.475 Mg/m³
data_Mn2ZnPd2
_chemical_formula_sum 'Mn4 Zn2 Pd4'
_cell_length_a 3.8526
_cell_length_b 3.8526
_cell_length_c 10.2474
_cell_angle_alpha 90.00
_cell_angle_beta 90.00
_cell_angle_gamma 90.00
_symmetry_space_group_name_H-M 'I 4/m m m'
_symmetry_Int_Tables_number 139
_symmetry_space_group_name_Hall '-I 4 2'
loop_
_atom_site_label
_atom_site_type_symbol
_atom_site_fract_x
_atom_site_fract_y
_atom_site_fract_z
Mn1 Mn 0.0000 0.0000 0.0913
Zn1 Zn 0.0000 0.0000 0.5000
Pd1 Pd 0.0000 0.5000 0.2500


No. 2
# PBE-GGA PrThHg, optimized geometry
# Formation energy from the elements: -0.220 eV per atom
# DFT total energy: -52.7 eV for the cell shown
# Relative energy among the computed polymorphs: 0 meV per atom
# Theoretical density: 10.379 Mg/m³
data_PrThHg
_chemical_formula_sum 'Pr4 Th4 Hg4'
_cell_length_a 3.6734
_cell_length_b 17.6361
_cell_length_c 5.6655
_cell_angle_alpha 90.00
_cell_angle_beta 90.00
_cell_angle_gamma 90.00
_symmetry_space_group_name_H-M 'C m c m'
_symmetry_Int_Tables_number 63
_symmetry_space_group_name_Hall '-C 2c 2'
loop_
_atom_site_label
_atom_site_type_symbol
_atom_site_fract_x
_atom_site_fract_y
_atom_site_fract_z
Pr1 Pr 0.0000 0.0870 0.2500
Th1 Th 0.0000 0.2266 0.7500
Hg1 Hg 0.0000 0.4325 0.2500


No. 3
# PBE-GGA TbZnHg, optimized geometry
# Formation energy from the elements: -0.407 eV per atom
# DFT total energy: -14.9 eV for the cell shown
# Theoretical density: 10.486 Mg/m³
data_TbZnHg
_chemical_formula_sum 'Tb2 Zn2 Hg2'
_cell_length_a 4.6929
_cell_length_b 4.6929
_cell_length_c 7.0564
_cell_angle_alpha 90.00
_cell_angle_beta 90.00
_cell_angle_gamma 120.00
_symmetry_space_group_name_H-M 'P 63/m m c'
_symmetry_Int_Tables_number 194
_symmetry_space_group_name_Hall '-P 6c 2c'
loop_
_atom_site_label
_atom_site_type_symbol
_atom_site_fract_x
_atom_site_fract_y
_atom_site_fract_z
Tb1 Tb 0.0000 0.0000 0.0000
Zn1 Zn 0.3333 0.6667 0.2500
Hg1 Hg 0.3333 0.6667 0.7500


No. 4
# PBE-GGA K2SrPtF8, optimized geometry
# Formation energy (no corrections): -28.0 eV/f.u.
# DFT total energy: -52.9 eV for the cell shown
# Theoretical density: 4.379 Mg/m³
data_K2SrPtF8
_chemical_formula_sum 'K2 Sr1 Pt1 F8'
_cell_length_a 5.4724
_cell_length_b 5.4724
_cell_length_c 7.4997
_cell_angle_alpha 90.00
_cell_angle_beta 90.00
_cell_angle_gamma 120.00
_symmetry_space_group_name_H-M 'P -3 m 1'
_symmetry_Int_Tables_number 164
_symmetry_space_group_name_Hall '-P 3 2"'
loop_
_atom_site_label
_atom_site_type_symbol
_atom_site_fract_x
_atom_site_fract_y
_atom_site_fract_z
K1 K 0.3333 0.6667 0.3228
Sr1 Sr 0.0000 0.0000 0.0000
Pt1 Pt 0.0000 0.0000 0.5000
F1 F 0.1585 0.3170 0.6708
F2 F 0.3333 0.6667 0.0025


No. 5
# PBE-GGA TbDy2Zn2Ge2, optimized geometry
# Formation energy from the elements: -0.452 eV per atom
# DFT total energy: -86.3 eV for the cell shown
# Theoretical density: 7.716 Mg/m³
data_TbDy2Zn2Ge2
_chemical_formula_sum 'Tb3 Dy6 Zn6 Ge6'
_cell_length_a 4.1303
_cell_length_b 4.1303
_cell_length_c 33.2132
_cell_angle_alpha 90.00
_cell_angle_beta 90.00
_cell_angle_gamma 120.00
_symmetry_space_group_name_H-M 'R -3 m'
_symmetry_Int_Tables_number 166
_symmetry_space_group_name_Hall '-R 3 2"'
loop_
_atom_site_label
_atom_site_type_symbol
_atom_site_fract_x
_atom_site_fract_y
_atom_site_fract_z
Tb1 Tb 0.0000 0.0000 0.0000
Dy1 Dy 0.0000 0.0000 0.1236
Zn1 Zn 0.0000 0.0000 0.3897
Ge1 Ge 0.0000 0.0000 0.2650


No. 6
# PBE-GGA NbV2Zn2, optimized geometry
# Formation energy from the elements: 0.180 eV per atom
# DFT total energy: -59.9 eV for the cell shown
# Relative energy among the computed polymorphs: 0 meV per atom
# Theoretical density: 7.215 Mg/m³
data_NbV2Zn2
_chemical_formula_sum 'Nb2 V4 Zn4'
_cell_length_a 7.0915
_cell_length_b 7.0915
_cell_length_c 2.9805
_cell_angle_alpha 90.00
_cell_angle_beta 90.00
_cell_angle_gamma 90.00
_symmetry_space_group_name_H-M 'P 4/m b m'
_symmetry_Int_Tables_number 127
_symmetry_space_group_name_Hall '-P 4 2ab'
loop_
_atom_site_label
_atom_site_type_symbol
_atom_site_fract_x
_atom_site_fract_y
_atom_site_fract_z
Nb1 Nb 0.0000 0.0000 0.0000
V1 V 0.1787 0.3213 0.5000
Zn1 Zn 0.1212 0.6212 0.0000


No. 7
# PBE-GGA FeAsPt, optimized geometry
# Formation energy from the elements: 0.026 eV per atom
# DFT total energy: -38.2 eV for the cell shown
# Theoretical density: 11.971 Mg/m³
data_FeAsPt
_chemical_formula_sum 'Fe2 As2 Pt2'
_cell_length_a 2.8938
_cell_length_b 2.8938
_cell_length_c 10.7949
_cell_angle_alpha 90.00
_cell_angle_beta 90.00
_cell_angle_gamma 90.00
_symmetry_space_group_name_H-M 'I 4 m m'
_symmetry_Int_Tables_number 107
_symmetry_space_group_name_Hall 'I 4 -2'
loop_
_atom_site_label
_atom_site_type_symbol
_atom_site_fract_x
_atom_site_fract_y
_atom_site_fract_z
Fe1 Fe 0.0000 0.0000 0.0000
As1 As 0.0000 0.0000 0.6582
Pt1 Pt 0.0000 0.0000 0.3453


No. 8
# PBE-GGA RbAuSCl2, optimized geometry
# Formation energy (no corrections): 2.9 eV/f.u.
# DFT total energy: -9.2 eV for the cell shown
# Relative energy among the computed polymorphs: 1147 meV per atom
# Theoretical density: 2.827 Mg/m³
data_RbAuSCl2
_chemical_formula_sum 'Rb1 Au1 S1 Cl2'
_cell_length_a 6.0912
_cell_length_b 6.0912
_cell_length_c 6.1018
_cell_angle_alpha 90.00
_cell_angle_beta 90.00
_cell_angle_gamma 90.00
_symmetry_space_group_name_H-M 'P 4/m m m'
_symmetry_Int_Tables_number 123
_symmetry_space_group_name_Hall '-P 4 2'
loop_
_atom_site_label
_atom_site_type_symbol
_atom_site_fract_x
_atom_site_fract_y
_atom_site_fract_z
Rb1 Rb 0.0000 0.0000 0.0000
Au1 Au 0.5000 0.5000 0.5000
S1 S 0.0000 0.0000 0.5000
Cl1 Cl 0.0000 0.5000 0.0000


No. 9
# PBE-GGA Pm2Pr3Er3, optimized geometry
# Formation energy from the elements: 0.093 eV per atom
# DFT total energy: -73.6 eV for the cell shown
# Relative energy among the computed polymorphs: 73 meV per atom
# Theoretical density: 7.438 Mg/m³
data_Pm2Pr3Er3
_chemical_formula_sum 'Pm4 Pr6 Er6'
_cell_length_a 16.3245
_cell_length_b 5.8401
_cell_length_c 6.0890
_cell_angle_alpha 90.00
_cell_angle_beta 110.90
_cell_angle_gamma 90.00
_symmetry_space_group_name_H-M 'C 1 2/m 1'
_symmetry_Int_Tables_number 12
loop_
_symmetry_equiv_pos_as_xyz
'x,y,z'
'-x,-y,-z'
'-x,y,-z'
'x,-y,z'
'x+1/2,y+1/2,z'
'-x+1/2,-y+1/2,-z'
'-x+1/2,y+1/2,-z'
'x+1/2,-y+1/2,z'
loop_
_atom_site_label
_atom_site_type_symbol
_atom_site_fract_x
_atom_site_fract_y
_atom_site_fract_z
Pm1 Pm 0.2495 0.0000 0.1819
Pr1 Pr 0.0000 0.5000 0.5000
Pr2 Pr 0.1345 0.5000 0.1942
Er1 Er 0.0000 0.0000 0.0000
Er2 Er 0.1296 0.0000 0.5802


No. 10
# PBE-GGA Nd2Tm2Sb2C, optimized geometry
# Formation energy (no corrections): -6.1 eV/f.u.
# DFT total energy: -84.0 eV for the cell shown
# Theoretical density: 8.016 Mg/m³
data_Nd2Tm2Sb2C
_chemical_formula_sum 'Nd4 Tm4 Sb4 C2'
_cell_length_a 4.7309
_cell_length_b 4.7309
_cell_length_c 16.3259
_cell_angle_alpha 90.00
_cell_angle_beta 90.00
_cell_angle_gamma 90.00
_symmetry_space_group_name_H-M 'I 4/m m m'
_symmetry_Int_Tables_number 139
_symmetry_space_group_name_Hall '-I 4 2'
loop_
_atom_site_label
_atom_site_type_symbol
_atom_site_fract_x
_atom_site_fract_y
_atom_site_fract_z
Nd1 Nd 0.0000 0.0000 0.1634
Tm1 Tm 0.0000 0.5000 0.0000
Sb1 Sb 0.0000 0.0000 0.3644
C1 C 0.0000 0.0000 0.0000


No. 11
# PBE-GGA Ac2PrS3F3, optimized geometry
# Formation energy (no corrections): -23.9 eV/f.u.
# DFT total energy: -54.9 eV for the cell shown
# Theoretical density: 6.143 Mg/m³
data_Ac2PrS3F3
_chemical_formula_sum 'Ac2 Pr1 S3 F3'
_cell_length_a 7.5447
_cell_length_b 7.5447
_cell_length_c 4.1020
_cell_angle_alpha 90.00
_cell_angle_beta 90.00
_cell_angle_gamma 120.00
_symmetry_space_group_name_H-M 'P -6 2 m'
_symmetry_Int_Tables_number 189
_symmetry_space_group_name_Hall 'P -6 -2'
loop_
_atom_site_label
_atom_site_type_symbol
_atom_site_fract_x
_atom_site_fract_y
_atom_site_fract_z
Ac1 Ac 0.3333 0.6667 0.0000
Pr1 Pr 0.0000 0.0000 0.5000
S1 S 0.0000 0.7397 0.0000
F1 F 0.0000 0.4206 0.5000


No. 12
# PBE-GGA U5Pt, optimized geometry
# Formation energy from the elements: -0.097 eV per atom
# DFT total energy: -126.1 eV for the cell shown
# Theoretical density: 19.226 Mg/m³
data_U5Pt
_chemical_formula_sum 'U10 Pt2'
_cell_length_a 5.0737
_cell_length_b 15.4197
_cell_length_c 3.0585
_cell_angle_alpha 90.00
_cell_angle_beta 90.00
_cell_angle_gamma 90.00
_symmetry_space_group_name_H-M 'C m m m'
_symmetry_Int_Tables_number 65
_symmetry_space_group_name_Hall '-C 2 2'
loop_
_atom_site_label
_atom_site_type_symbol
_atom_site_fract_x
_atom_site_fract_y
_atom_site_fract_z
U1 U 0.0000 0.0000 0.0000
U2 U 0.0000 0.1568 0.5000
U3 U 0.0000 0.3268 0.0000
Pt1 Pt 0.0000 0.5000 0.5000


Question: Number 2 is which compound?
Answer: PrThHg


What did the eighth record say?
# PBE-GGA RbAuSCl2, optimized geometry
# Formation energy (no corrections): 2.9 eV/f.u.
# DFT total energy: -9.2 eV for the cell shown
# Relative energy among the computed polymorphs: 1147 meV per atom
# Theoretical density: 2.827 Mg/m³
data_RbAuSCl2
_chemical_formula_sum 'Rb1 Au1 S1 Cl2'
_cell_length_a 6.0912
_cell_length_b 6.0912
_cell_length_c 6.1018
_cell_angle_alpha 90.00
_cell_angle_beta 90.00
_cell_angle_gamma 90.00
_symmetry_space_group_name_H-M 'P 4/m m m'
_symmetry_Int_Tables_number 123
_symmetry_space_group_name_Hall '-P 4 2'
loop_
_atom_site_label
_atom_site_type_symbol
_atom_site_fract_x
_atom_site_fract_y
_atom_site_fract_z
Rb1 Rb 0.0000 0.0000 0.0000
Au1 Au 0.5000 0.5000 0.5000
S1 S 0.0000 0.0000 0.5000
Cl1 Cl 0.0000 0.5000 0.0000


Question: DFT total energy of number 5 (TbDy2Zn2Ge2)?
Answer: -86.3 eV for the cell shown


Question: The highest theoretical density belongs to which entry?
Answer: U5Pt